Entry 1:
MgReIr: relaxed, GGA-PBE.

Structure (CIF):
```
data_MgReIr
_cell_length_a 2.825
_cell_length_b 2.825
_cell_length_c 11.738
_cell_angle_alpha 90.00
_cell_angle_beta 90.00
_cell_angle_gamma 90.00
_symmetry_space_group_name_H-M 'I 4 m m'
_symmetry_Int_Tables_number 107
_symmetry_space_group_name_Hall 'I 4 -2'
loop_
_atom_site_label
_atom_site_type_symbol
_atom_site_fract_x
_atom_site_fract_y
_atom_site_fract_z
Mg1 Mg 0.000 0.000 0.000
Re1 Re 0.000 0.000 0.683
Ir1 Ir 0.000 0.000 0.330
```

As for the crystal system: tetragonal. The formation energy from the elements is -65 meV per atom. The total magnetization comes out at 0.0 μB/cell. The total energy comes out at -23.098 eV/f.u.



Entry 2:
Na3Tm2GeO6: relaxed, GGA-PBE.

Structure (CIF):
```
data_Na3Tm2GeO6
_cell_length_a 5.719
_cell_length_b 9.906
_cell_length_c 5.866
_cell_angle_alpha 90.00
_cell_angle_beta 108.72
_cell_angle_gamma 90.00
_symmetry_space_group_name_H-M 'C 1 2/m 1'
_symmetry_Int_Tables_number 12
loop_
_symmetry_equiv_pos_as_xyz
'x,y,z'
'-x,-y,-z'
'-x,y,-z'
'x,-y,z'
'x+1/2,y+1/2,z'
'-x+1/2,-y+1/2,-z'
'-x+1/2,y+1/2,-z'
'x+1/2,-y+1/2,z'
loop_
_atom_site_label
_atom_site_type_symbol
_atom_site_fract_x
_atom_site_fract_y
_atom_site_fract_z
Na1 Na 0.000 0.000 0.000
Na2 Na 0.000 0.342 0.000
Tm1 Tm 0.000 0.167 0.500
Ge1 Ge 0.000 0.500 0.500
O1 O 0.231 0.338 0.709
O2 O 0.244 0.000 0.708
```

As for the crystal system: monoclinic. The total magnetization comes out at 0.9 μB/cell. The uncorrected formation energy comes out at -2317 meV per atom. The total energy comes out at -75.073 eV/f.u.



Entry 3:
NdY2Te: relaxed, GGA-PBE.

Structure (CIF):
```
data_NdY2Te
_cell_length_a 3.8730
_cell_length_b 3.8730
_cell_length_c 32.1854
_cell_angle_alpha 90.00
_cell_angle_beta 90.00
_cell_angle_gamma 120.00
_symmetry_space_group_name_H-M 'R -3 m'
_symmetry_Int_Tables_number 166
_symmetry_space_group_name_Hall '-R 3 2"'
loop_
_atom_site_label
_atom_site_type_symbol
_atom_site_fract_x
_atom_site_fract_y
_atom_site_fract_z
Nd1 Nd 0.0000 0.0000 0.0000
Y1 Y 0.0000 0.0000 0.1033
Te1 Te 0.0000 0.0000 0.5000
```

As for the crystal system: trigonal. The total magnetization comes out at 4.7 μB/cell. The uncorrected formation energy comes out at -278 meV per atom. The total energy comes out at -21.950 eV/f.u.



Entry 4:
LiIrAuF6: relaxed, GGA-PBE.

Structure (CIF):
```
data_LiIrAuF6
_cell_length_a 5.3393
_cell_length_b 5.3393
_cell_length_c 10.3460
_cell_angle_alpha 90.00
_cell_angle_beta 90.00
_cell_angle_gamma 120.00
_symmetry_space_group_name_H-M 'P -3 1 c'
_symmetry_Int_Tables_number 163
_symmetry_space_group_name_Hall '-P 3 2c'
loop_
_atom_site_label
_atom_site_type_symbol
_atom_site_fract_x
_atom_site_fract_y
_atom_site_fract_z
Li1 Li 0.3333 0.6667 0.2500
Ir1 Ir 0.3333 0.6667 0.7500
Au1 Au 0.0000 0.0000 0.0000
F1 F 0.0125 0.3682 0.6437
```

As for the crystal system: trigonal. The total magnetization comes out at 2.1 μB/cell. The uncorrected formation energy comes out at -1550 meV per atom. The total energy comes out at -39.229 eV/f.u.